No. 1
VASP calculation (PBE-GGA) on a relaxed ZnNiAu3 crystal.

It has space group Pm-3m (No. 221), with a = 4.7664 Å, b = 4.7664 Å, c = 4.7664 Å, α = 90.00°, β = 90.00° and γ = 90.00°. Symmetry generates all atoms from Zn at (0.0000, 0.0000, 0.0000), Ni at (0.5000, 0.5000, 0.5000) and Au at (0.0000, 0.5000, 0.5000).

Its formation energy from the elements is 653 meV/atom. The value obtained for the total energy is -2.72 eV/atom.

No. 2
VASP calculation (PBE-GGA) on a relaxed Zn4NiAu crystal.

It has space group F-43m (No. 216), with a = 7.0280 Å, b = 7.0280 Å, c = 7.0280 Å, α = 90.00°, β = 90.00° and γ = 90.00°. Symmetry generates all atoms from Zn at (0.1254, 0.1254, 0.1254), Ni at (0.0000, 0.0000, 0.5000) and Au at (0.2500, 0.2500, 0.7500).

Its formation energy from the elements is 2 meV/atom. The value obtained for the total energy is -2.36 eV/atom.

No. 3
VASP calculation (PBE-GGA) on a relaxed Zn2NiAu crystal.

It has space group F-43m (No. 216), with a = 6.1173 Å, b = 6.1173 Å, c = 6.1173 Å, α = 90.00°, β = 90.00° and γ = 90.00°. Symmetry generates all atoms from Zn at (0.0000, 0.0000, 0.0000), Zn at (0.2500, 0.2500, 0.2500), Ni at (0.0000, 0.0000, 0.5000) and Au at (0.2500, 0.2500, 0.7500).

Its formation energy from the elements is -116 meV/atom. The value obtained for the total energy is -3.02 eV/atom.

No. 4
VASP calculation (PBE-GGA) on a relaxed Zn5Ni6Au crystal.

It has space group P2/m (No. 10), with a = 4.3226 Å, b = 5.4866 Å, c = 6.4087 Å, α = 90.00°, β = 97.79° and γ = 90.00°. Symmetry generates all atoms from Zn at (0.0000, 0.0000, 0.0000), Zn at (0.3284, 0.0000, 0.6686), Zn at (0.3315, 0.5000, 0.6694), Ni at (0.1775, 0.2457, 0.3437), Ni at (0.5000, 0.2365, 0.0000) and Au at (0.0000, 0.5000, 0.0000).

Its formation energy from the elements is -193 meV/atom. The value obtained for the total energy is -3.89 eV/atom.